Here is a relaxed structure of LaMo2Ir from the Alexandria database. Energies are from PBE.

For the formation energy, the calculation gives 0.48 eV per atom. The polymorph energy (0 for the lowest one) comes out at 0.335 eV per atom. For the total energy, the calculation gives -8.38 eV per atom.

The structure belongs to space group I4/mmm (No. 139); the cell edges are 3.977, 3.977 and 9.812 Å and the angles 90.00°, 90.00° and 90.00°. The distinct sites, in fractional coordinates, are La at (0.000, 0.000, 0.000), Mo at (0.000, 0.500, 0.250) and Ir at (0.000, 0.000, 0.500).

Here is a relaxed structure of AcLaErPb from the Alexandria database. Energies are from PBE.

For the formation energy, the calculation gives -0.09 eV per atom. For the total energy, the calculation gives -4.42 eV per atom.

The structure belongs to space group F-43m (No. 216); the cell edges are 8.080, 8.080 and 8.080 Å and the angles 90.00°, 90.00° and 90.00°. The distinct sites, in fractional coordinates, are Ac at (0.000, 0.000, 0.000), La at (0.250, 0.250, 0.750), Er at (0.250, 0.250, 0.250) and Pb at (0.000, 0.000, 0.500).

Here is a relaxed structure of MgIr2Rh from the Alexandria database. Energies are from PBE.

For the formation energy, the calculation gives -0.16 eV per atom. For the total energy, the calculation gives -6.83 eV per atom.

The structure belongs to space group P4mm (No. 99); the cell edges are 2.780, 2.780 and 7.762 Å and the angles 90.00°, 90.00° and 90.00°. The distinct sites, in fractional coordinates, are Mg at (0.000, 0.000, 0.000), Ir at (0.000, 0.000, 0.499), Ir at (0.500, 0.500, 0.736) and Rh at (0.500, 0.500, 0.260).

Here is a relaxed structure of SnMoSe3 from the Alexandria database. Energies are from PBE.

The polymorph energy (0 for the lowest one) comes out at 0.000 eV per atom. For the total energy, the calculation gives -4.98 eV per atom. The formation energy from raw total energies comes out at 0.080 eV per atom.

The structure belongs to space group Pm-3m (No. 221); the cell edges are 4.989, 4.989 and 4.989 Å and the angles 90.00°, 90.00° and 90.00°. The distinct sites, in fractional coordinates, are Sn at (0.000, 0.000, 0.000), Mo at (0.500, 0.500, 0.500) and Se at (0.000, 0.500, 0.500).

Here is a relaxed structure of K3BeFe from the Alexandria database. Energies are from PBE.

For the formation energy, the calculation gives 1.24 eV per atom. The polymorph energy (0 for the lowest one) comes out at 0.000 eV per atom. For the total energy, the calculation gives -1.86 eV per atom.

The structure belongs to space group Pm-3m (No. 221); the cell edges are 6.246, 6.246 and 6.246 Å and the angles 90.00°, 90.00° and 90.00°. The distinct sites, in fractional coordinates, are K at (0.000, 0.000, 0.500), Be at (0.000, 0.000, 0.000) and Fe at (0.500, 0.500, 0.500).

Here is a relaxed structure of Rb2LiAgCl4 from the Alexandria database. Energies are from PBE.

For the total energy, the calculation gives -3.23 eV per atom. The formation energy from raw total energies comes out at -1.470 eV per atom.

The structure belongs to space group C2/c (No. 15); the cell edges are 11.241, 13.337 and 8.654 Å and the angles 90.00°, 129.29° and 90.00°. The distinct sites, in fractional coordinates, are Rb at (0.000, 0.000, 0.000), Rb at (0.250, 0.250, 0.000), Li at (0.000, 0.500, 0.000), Ag at (0.250, 0.250, 0.500), Cl at (0.041, 0.249, 0.512) and Cl at (0.212, 0.491, 0.013).

Here is a relaxed structure of RbSn2Ge from the Alexandria database. Energies are from PBE.

For the formation energy, the calculation gives 0.09 eV per atom. For the total energy, the calculation gives -3.31 eV per atom.

The structure belongs to space group I-42d (No. 122); the cell edges are 5.842, 5.842 and 19.156 Å and the angles 90.00°, 90.00° and 90.00°. The distinct sites, in fractional coordinates, are Rb at (0.000, 0.000, 0.000), Sn at (0.027, 0.250, 0.625) and Ge at (0.000, 0.000, 0.500).

Here is a relaxed structure of Ac6GeIr2I3 from the Alexandria database. Energies are from PBE.

For the total energy, the calculation gives -5.31 eV per atom. The formation energy from raw total energies comes out at -1.007 eV per atom.

The structure belongs to space group C2/m (No. 12); the cell edges are 7.802, 13.519 and 8.911 Å and the angles 90.00°, 106.97° and 90.00°. The distinct sites, in fractional coordinates, are Ac at (0.212, 0.000, 0.187), Ac at (0.237, 0.325, 0.188), Ge at (0.000, 0.500, 0.000), Ir at (0.000, 0.167, 0.000), I at (0.000, 0.000, 0.500) and I at (0.000, 0.337, 0.500).